(1)
Here is crystalline CrCu2P at its relaxed geometry from the Alexandria database. Energies are from PBE-GGA.

For the energy relative to the elements, the calculation gives 0.32 eV/atom. Its total energy is -21.9 eV for the cell shown. The calculation puts the magnetization at 0.00 μB/cell. Its space-group type is P4/mmm.

Lattice parameters (Å, degrees): 2.492 2.492 8.040 90.00 90.00 90.00
Fractional positions:
Cr 0.000 0.000 0.000
Cu 0.500 0.500 0.243
Cu 0.500 0.500 0.757
P 0.000 0.000 0.500

=====

(2)
Here is crystalline Sn5Se5S at its relaxed geometry from the Alexandria database. Energies are from PBE-GGA.

Its total energy is -45.7 eV for the cell shown. The calculation puts the magnetization at 0.00 μB/cell. Its space-group type is C2/m. As for the uncorrected formation energy: -378 meV/atom.

Lattice parameters (Å, degrees): 7.183 7.183 8.336 107.10 107.10 48.16
Fractional positions:
Sn 0.000 0.000 0.000
Sn 0.334 0.334 0.173
Sn 0.341 0.341 0.667
Sn 0.659 0.659 0.333
Sn 0.666 0.666 0.827
Se 0.172 0.172 0.333
Se 0.172 0.172 0.840
Se 0.500 0.500 0.500
Se 0.828 0.828 0.160
Se 0.828 0.828 0.667
S 0.500 0.500 0.000